(1)
A relaxed structure of SrCaLa2Zn, computed with PBE.

Lattice parameters (Å, degrees): 8.1286 8.1286 6.2231 99.84 99.84 27.46
Last column: nearest neighbours and their distance in Å.
Sites, in units of the cell vectors:
Sr 0.0000 0.0000 0.0000  2 Zn 3.22-3.39
Ca 0.5894 0.5894 0.5426  2 Zn 3.17
La 0.3004 0.3004 0.6115  2 Zn 3.08
La 0.7442 0.7442 0.1094  1 Zn 3.29, 2 La 3.65
Zn 0.9281 0.9281 0.4529  3 La 3.08-3.29, 2 Ca 3.17, 2 Sr 3.22-3.39

formation energy from the elements	0.027	eV per atom
total magnetization	0.0	μB/f.u.
polymorph energy (0 for the lowest one)	7.8	kJ/mol of atoms
SG	Cm (8)
mass density	4.19	g cm⁻³



(2)
A relaxed structure of SrCaLa2Zn, computed with PBE.

Lattice parameters (Å, degrees): 7.4091 7.4091 3.7163 102.23 102.23 107.56
Last column: nearest neighbours and their distance in Å.
Sites, in units of the cell vectors:
Sr 0.0000 0.0000 0.0000  2 Zn 3.41, 2 Sr 3.72, 2 La 3.74
Ca 0.4605 0.5395 0.0000  2 Zn 3.23
La 0.5406 0.0845 0.2558  1 La 3.13, 2 Zn 3.14-3.18
La 0.9155 0.4594 0.7442  1 La 3.13, 2 Zn 3.14-3.18
Zn 0.2392 0.7608 0.5000  4 La 3.14-3.18, 2 Ca 3.23, 2 Sr 3.41

formation energy from the elements	0.009	eV per atom
total magnetization	0.0	μB/f.u.
polymorph energy (0 for the lowest one)	6.1	kJ/mol of atoms
SG	C2 (5)
mass density	4.31	g cm⁻³



(3)
A relaxed structure of SrCaLa2Zn, computed with PBE.

Lattice parameters (Å, degrees): 5.7752 5.3153 6.3774 90.00 101.41 90.00
Last column: nearest neighbours and their distance in Å.
Sites, in units of the cell vectors:
Sr 0.0000 0.0000 0.0000  2 Zn 3.58, 3 La 3.72-3.97
Ca 0.1218 0.5000 0.5222  2 Zn 2.96-3.20
La 0.5323 0.5000 0.1185  1 Zn 3.00
La 0.5724 0.0000 0.4801  2 Zn 3.00
Zn 0.6819 0.5000 0.6939  2 Ca 2.96-3.20, 3 La 3.00

formation energy from the elements	0.081	eV per atom
total magnetization	1.1	μB/f.u.
polymorph energy (0 for the lowest one)	13.0	kJ/mol of atoms
SG	Pm (6)
mass density	4.07	g cm⁻³



(4)
A relaxed structure of SrCaLa2Zn, computed with PBE.

Lattice parameters (Å, degrees): 7.0014 7.0014 9.2646 128.81 128.81 31.24
Last column: nearest neighbours and their distance in Å.
Sites, in units of the cell vectors:
Sr 0.0000 0.0000 0.0000  2 Zn 3.38, 2 La 3.69-3.76, 2 Sr 3.77
Ca 0.8632 0.8632 0.3099  2 Zn 3.19
La 0.1746 0.1746 0.8167  2 Zn 3.21, 2 La 3.58
La 0.6829 0.6829 0.4956  2 Zn 3.23, 2 La 3.58
Zn 0.4266 0.4266 0.6383  2 Ca 3.19, 4 La 3.21-3.23, 2 Sr 3.38

formation energy from the elements	-0.054	eV per atom
total magnetization	0.0	μB/f.u.
polymorph energy (0 for the lowest one)	0.0	kJ/mol of atoms
SG	Cm (8)
mass density	4.37	g cm⁻³



- Look up the formation energy from the elements of the second one.
  0.009 eV per atom